# AcPm2Er | Alexandria via LeMat-Bulk | GGA-PBE | optimized geometry
# Symmetry = P4/mmm
# Offset from the most stable computed form = 0.008 eV/atom
data_AcPm2Er
_chemical_formula_sum 'Ac1 Pm2 Er1'
_cell_length_a 3.722
_cell_length_b 3.722
_cell_length_c 10.368
_cell_angle_alpha 90.00
_cell_angle_beta 90.00
_cell_angle_gamma 90.00
_space_group_name_H-M_alt 'P 1'
_space_group_IT_number 1
_space_group_name_Hall 'P 1'
loop_
_atom_site_label
_atom_site_fract_x
_atom_site_fract_y
_atom_site_fract_z
_atom_site_occupancy
Er1 0.500 0.500 0.000 1
Ac1 0.500 0.500 0.500 1
Pm1 0.000 0.000 0.765 1
Pm2 0.000 0.000 0.235 1

---

# Ac3Pm3Er2 | Alexandria via LeMat-Bulk | GGA-PBE | optimized geometry
# Symmetry = Pmmm
data_Ac3Pm3Er2
_chemical_formula_sum 'Ac3 Pm3 Er2'
_cell_length_a 6.124
_cell_length_b 6.108
_cell_length_c 7.937
_cell_angle_alpha 90.00
_cell_angle_beta 90.00
_cell_angle_gamma 90.00
_space_group_name_H-M_alt 'P 1'
_space_group_IT_number 1
_space_group_name_Hall 'P 1'
loop_
_atom_site_label
_atom_site_fract_x
_atom_site_fract_y
_atom_site_fract_z
_atom_site_occupancy
Pm1 0.500 0.500 0.759 1
Pm2 0.500 0.500 0.241 1
Pm3 0.000 0.500 0.000 1
Ac1 0.500 0.000 0.000 1
Ac2 0.500 0.000 0.500 1
Ac3 0.000 0.500 0.500 1
Er1 0.000 0.000 0.241 1
Er2 0.000 0.000 0.759 1

---

# Ac2Pm8Er3 | Alexandria via LeMat-Bulk | GGA-PBE | optimized geometry
# Symmetry = C2/m
data_Ac2Pm8Er3
_chemical_formula_sum 'Ac2 Pm8 Er3'
_cell_length_a 6.274
_cell_length_b 8.970
_cell_length_c 8.970
_cell_angle_alpha 83.71
_cell_angle_beta 72.71
_cell_angle_gamma 72.71
_space_group_name_H-M_alt 'P 1'
_space_group_IT_number 1
_space_group_name_Hall 'P 1'
loop_
_atom_site_label
_atom_site_fract_x
_atom_site_fract_y
_atom_site_fract_z
_atom_site_occupancy
Pm1 0.760 0.423 0.423 1
Pm2 0.336 0.912 0.411 1
Pm3 0.938 0.142 0.142 1
Pm4 0.664 0.088 0.589 1
Pm5 0.664 0.589 0.088 1
Pm6 0.336 0.411 0.912 1
Pm7 0.240 0.577 0.577 1
Pm8 0.062 0.858 0.858 1
Ac1 0.659 0.698 0.698 1
Ac2 0.341 0.302 0.302 1
Er1 0.500 0.000 0.000 1
Er2 0.000 0.743 0.257 1
Er3 0.000 0.257 0.743 1

---

Number 1: density 7.9 Mg/m³, formation energy from the elements 0.19 eV per formula unit. Number 2: density 8.1 Mg/m³, formation energy from the elements 0.90 eV per formula unit. Number 3: density 7.6 Mg/m³, formation energy from the elements 2.50 eV per formula unit.